Crystalline Cd2CuW at its relaxed geometry, computed with PBE.

The electronic total energy comes out at -4.2037 eV per atom. As for the density: 11.26 g/cm3. The volume is 69.6 Å³/cell. The calculation puts the relative energy among the computed polymorphs at 177.1 meV/atom. The value obtained for the total moment is 0.0 μB/f.u.

The space group is Pm (No. 6) and the conventional cell measures 2.7906, 4.3216 and 5.9318 Å, with angles of 90.00, 103.32 and 90.00 degrees. The asymmetric unit holds Cd at (0.0000, 0.0000, 0.0000), Cd at (0.3697, 0.5000, 0.7389), Cu at (0.1569, 0.5000, 0.2833) and W at (0.7352, 0.0000, 0.4606).

---

Crystalline Cd2CuW at its relaxed geometry, computed with PBE.

The electronic total energy comes out at -4.3483 eV per atom. As for the density: 11.14 g/cm3. The volume is 211.2 Å³/cell. The calculation puts the relative energy among the computed polymorphs at 32.5 meV/atom. The value obtained for the total moment is 0.0 μB/f.u.

The space group is R3m (No. 160, hexagonal axes) and the conventional cell measures 2.8742, 2.8742 and 29.5244 Å, with angles of 90.00, 90.00 and 120.00 degrees. The asymmetric unit holds Cd at (0.0000, 0.0000, 0.0000), Cd at (0.0000, 0.0000, 0.2364), Cu at (0.0000, 0.0000, 0.4907) and W at (0.0000, 0.0000, 0.7523).